Density functional theory data (meta-GGA SCAN) for Al2InW at its PBEsol-relaxed geometry.

Lattice parameters (Å, degrees): 3.496 3.496 5.527 90.00 90.00 90.00
Space group P4mm (No. 99)
One atom of each set of equivalent atoms:
Al: 0.000 0.000 0.000 x1
Al: 0.500 0.500 0.258 x1
In: 0.000 0.000 0.514 x1
W: 0.500 0.500 0.784 x1

Formation energy from the elements: 217.2 meV/atom